[1]
Zn2Bi3O8 (PBE, optimized geometry); formation energy (no corrections) = -12.6 eV per formula unit
1.0
6.786 0.000 0.000
-3.393 5.877 0.000
0.000 0.000 9.612
Zn Bi O
4 6 16
Cartesian
0.000 3.918 0.000
0.000 3.918 3.437
3.393 1.959 4.806
3.393 1.959 8.243
0.000 1.952 6.714
-1.703 4.901 6.714
1.691 0.976 1.908
1.703 4.901 6.714
5.096 0.976 1.908
3.393 3.925 1.908
0.000 0.000 2.982
0.000 0.000 7.788
-1.564 3.015 8.038
0.000 2.044 0.912
-1.623 4.855 0.912
0.000 3.918 5.461
1.770 1.022 5.718
1.564 3.015 8.038
0.000 5.725 8.038
3.393 0.153 3.232
1.829 2.862 3.232
1.623 4.855 0.912
3.393 1.959 0.655
5.016 1.022 5.718
3.393 3.833 5.718
4.958 2.862 3.232

---

[2]
SrHgCl (PBE, optimized geometry); formation energy (no corrections) = -3.8 eV per formula unit
1.0
6.148 -2.178 0.000
6.148 2.178 0.000
-0.472 0.000 7.257
Sr Hg Cl
2 2 2
Cartesian
0.000 0.000 0.000
8.703 0.000 4.372
4.311 0.000 1.897
8.607 0.000 0.899
0.692 0.000 4.514
4.240 0.000 5.557

---

Energy above the lowest structure with this stoichiometry (computed, meV per atom): 41; 107
Total DFT energy (no corrections) (computed, eV per atom): -5.11; -2.54